[1]
Below is a relaxed structure of Rb3Ac2MnS6, with properties calculated at the PBE level.

a b c (Å): 7.3691 7.3691 8.1051
angles (deg): 98.60 98.60 120.73
With the nearest neighbours (Å) after each atom.
Sites, in units of the cell vectors:
Rb 0.1665 0.8335 0.5000  6 S 3.30-3.51
Rb 0.8335 0.1665 0.5000  6 S 3.30-3.51
Rb 0.5000 0.5000 0.5000  4 S 3.30
Ac 0.3309 0.6691 0.0000  6 S 2.96-3.04
Ac 0.6691 0.3309 0.0000  6 S 2.96-3.04
Mn 0.0000 0.0000 0.0000  2 S 2.42
S 0.9310 0.6245 0.7992  1 Mn 2.74, 2 Ac 2.96-2.98
S 0.7842 0.7842 0.1761  1 Mn 2.42
S 0.0690 0.3755 0.2008  1 Mn 2.74, 2 Ac 2.96-2.98
S 0.6245 0.9310 0.7992  1 Mn 2.74, 2 Ac 2.96-2.98
S 0.2158 0.2158 0.8239  1 Mn 2.42
S 0.3755 0.0690 0.2008  1 Mn 2.74, 2 Ac 2.96-2.98

Theoretical density: 4.4 g/cm3
Space group: C2/m, No. 12
Formation energy without anion corrections: -16.96 eV/f.u.

=====

[2]
Below is a relaxed structure of CaSnB, with properties calculated at the PBE level.

a b c (Å): 5.3028 3.2709 15.0686
angles (deg): 90.00 90.53 90.00
With the nearest neighbours (Å) after each atom.
Sites, in units of the cell vectors:
Ca 0.2141 0.0000 0.3755  3 B 2.74-2.98
Ca 0.2141 0.5000 0.8755  3 B 2.74-2.98
Ca 0.9539 0.0000 0.6424  3 B 2.77-2.90
Ca 0.9539 0.5000 0.1424  3 B 2.77-2.90
B 0.7625 0.0000 0.2856  2 B 1.69
B 0.7625 0.5000 0.7856  2 B 1.69
B 0.7759 0.0000 0.8146  2 B 1.69
B 0.7759 0.5000 0.3146  2 B 1.69
Sn 0.6943 0.0000 0.9719  1 B 2.41
Sn 0.6943 0.5000 0.4719  1 B 2.41
Sn 0.4524 0.0000 0.1729  1 B 2.35
Sn 0.4524 0.5000 0.6729  1 B 2.35

Theoretical density: 4.3 g/cm3
Space group: Cm, No. 8
Energy above the most stable polymorph in this dataset: 15 meV/atom
ΔE_f: -0.15 eV per atom

=====

[3]
Below is a relaxed structure of CsInHF2, with properties calculated at the PBE level.

a b c (Å): 4.8912 4.8912 4.0699
angles (deg): 90.00 90.00 90.00
With the nearest neighbours (Å) after each atom.
Sites, in units of the cell vectors:
Cs 0.5000 0.5000 0.5000  8 F 3.18, 4 H 3.46
H 0.0000 0.0000 0.5000  2 In 2.03
F 0.0000 0.5000 0.0000  2 In 2.45
F 0.5000 0.0000 0.0000  2 In 2.45
In 0.0000 0.0000 0.0000  2 H 2.03

Theoretical density: 4.9 g/cm3
Space group: P4/mmm, No. 123
E: -3.8094 eV/atom

=====

[4]
Below is a relaxed structure of Pm5InPd4, with properties calculated at the PBE level.

a b c (Å): 3.6243 3.6243 18.5357
angles (deg): 90.00 90.00 90.00
With the nearest neighbours (Å) after each atom.
Sites, in units of the cell vectors:
Pm 0.5000 0.5000 0.1157  4 Pd 3.12, 4 In 3.34
Pm 0.5000 0.5000 0.3073  8 Pd 3.12-3.13
Pm 0.5000 0.5000 0.5000  8 Pd 3.12
Pm 0.5000 0.5000 0.6927  8 Pd 3.12-3.13
Pm 0.5000 0.5000 0.8843  4 Pd 3.12, 4 In 3.34
In 0.0000 0.0000 0.0000  8 Pm 3.34, 4 In 3.62
Pd 0.0000 0.0000 0.2117  8 Pm 3.12
Pd 0.0000 0.0000 0.4040  8 Pm 3.12-3.13
Pd 0.0000 0.0000 0.5960  8 Pm 3.12-3.13
Pd 0.0000 0.0000 0.7883  8 Pm 3.12

Theoretical density: 8.6 g/cm3
Space group: P4/mmm, No. 123
ΔE_f: -0.70 eV per atom

=====

[5]
Below is a relaxed structure of Mg2BTeSe, with properties calculated at the PBE level.

a b c (Å): 5.2419 4.0499 5.2419
angles (deg): 90.00 90.00 90.00
With the nearest neighbours (Å) after each atom.
Sites, in units of the cell vectors:
Mg 0.0000 0.0000 0.5000  2 Se 2.62
Mg 0.5000 0.0000 0.0000  2 Se 2.62
Te 0.5000 0.5000 0.5000  8 Mg 3.31, 4 B 3.71
B 0.0000 0.5000 0.0000  2 Se 2.02
Se 0.0000 0.0000 0.0000  2 B 2.02

Theoretical density: 4.0 g/cm3
Space group: P4/mmm, No. 123
Formation energy without anion corrections: 1.79 eV/f.u.

=====

[6]
Below is a relaxed structure of BeHPb, with properties calculated at the PBE level.

a b c (Å): 4.0090 4.6243 6.8506
angles (deg): 109.50 107.66 90.26
With the nearest neighbours (Å) after each atom.
Sites, in units of the cell vectors:
Be 0.2594 0.0004 0.5012  2 H 1.45
Be 0.7406 0.9996 0.4988  2 H 1.45
H 0.5005 0.2343 0.4989  2 Be 1.45
H 0.4995 0.7657 0.5011  2 Be 1.45
Pb 0.2059 0.2070 0.9132  2 Be 2.72-2.74
Pb 0.7941 0.7930 0.0868  2 Be 2.72-2.74

Theoretical density: 6.4 g/cm3
Space group: P-1, No. 2
Energy above the most stable polymorph in this dataset: 0 meV/atom